# ZrTiIrS2 | Alexandria | PBE | relaxed
# - space group = P4/mmm
# - magnetic moment (μB/cell) = 0.13
# - raw total energy (eV/atom) = -6.405
data_ZrTiIrS2
_chemical_formula_sum 'Zr1 Ti1 Ir1 S2'
_symmetry_space_group_name_H-M 'P 1'
_symmetry_Int_Tables_number 1
_cell_length_a 4.838
_cell_length_b 4.957
_cell_length_c 4.838
_cell_angle_alpha 90.00
_cell_angle_beta 90.00
_cell_angle_gamma 90.00
loop_
_symmetry_equiv_pos_as_xyz
'x,y,z'
loop_
_atom_site_label
_atom_site_fract_x
_atom_site_fract_y
_atom_site_fract_z
S1 0.000 0.000 0.500
S2 0.500 0.000 0.000
Ir1 0.000 0.500 0.000
Zr1 0.000 0.000 0.000
Ti1 0.500 0.500 0.500